Entry 1:
Below is an optimized crystal structure of BiRhO2F, with properties calculated at the GGA-PBE level.

POSCAR file:
```
BiRhO2F
1.0
4.379 0.000 0.000
0.000 4.379 0.000
0.000 0.000 4.425
Rh O F Bi
1 2 1 1
Direct
0.500 0.500 0.500 Rh
0.000 0.500 0.000 O
0.500 0.000 0.000 O
0.000 0.000 0.500 F
0.000 0.000 0.000 Bi
```

Output
Formation energy without anion corrections: -245.8 meV per atom


Entry 2:
Below is an optimized crystal structure of KCr2Cu, with properties calculated at the GGA-PBE level.

POSCAR file:
```
KCr2Cu
1.0
-0.066 -2.767 1.381
3.914 1.449 3.092
-3.423 1.819 3.480
Cr Cu K
2 1 1
Direct
0.500 0.500 0.000 Cr
0.000 0.000 0.000 Cr
0.500 0.000 0.500 Cu
0.000 0.500 0.500 K
```

Output
Excess energy over the best structure of this formula in the dataset: 610.3 meV/atom


Entry 3:
Below is an optimized crystal structure of BaSb3Pt, with properties calculated at the GGA-PBE level.

POSCAR file:
```
BaSb3Pt
1.0
-1.133 0.176 -5.301
5.026 -1.698 -1.131
-1.696 -5.148 0.192
Sb Pt Ba
3 1 1
Direct
0.000 0.000 0.500 Sb
0.000 0.500 0.000 Sb
0.500 0.000 0.000 Sb
0.000 0.000 0.000 Pt
0.500 0.500 0.500 Ba
```

Output
Formation energy without anion corrections: -268.6 meV per atom
Excess energy over the best structure of this formula in the dataset: 301.8 meV/atom


Entry 4:
Below is an optimized crystal structure of Zn4Ru, with properties calculated at the GGA-PBE level.

POSCAR file:
```
Zn4Ru
1.0
3.483 0.000 0.000
1.742 4.515 0.000
-1.742 0.000 4.515
Zn Ru
4 1
Direct
0.396 0.401 0.192 Zn
0.203 0.192 0.599 Zn
0.604 0.599 0.808 Zn
0.797 0.808 0.401 Zn
0.000 0.000 0.000 Ru
```

Output
Excess energy over the best structure of this formula in the dataset: 0.0 meV/atom


Entry 5:
Below is an optimized crystal structure of AcAgTePt, with properties calculated at the GGA-PBE level.

POSCAR file:
```
AcAgTePt
1.0
5.208 0.000 0.000
2.604 4.511 0.000
2.604 1.504 4.253
Ag Pt Te Ac
1 1 1 1
Direct
0.750 0.750 0.750 Ag
0.250 0.250 0.250 Pt
0.500 0.500 0.500 Te
0.000 0.000 0.000 Ac
```

Output
Formation energy without anion corrections: -514.4 meV per atom


Entry 6:
Below is an optimized crystal structure of Cs2TlNiI6, with properties calculated at the GGA-PBE level.

POSCAR file:
```
Cs2TlNiI6
1.0
-7.019 0.088 -4.905
-3.555 -5.378 4.990
-0.846 7.994 1.354
I Cs Tl Ni
6 2 1 1
Direct
0.184 0.315 0.157 I
0.184 0.843 0.157 I
0.816 0.685 0.843 I
0.816 0.157 0.843 I
0.184 0.843 0.685 I
0.816 0.157 0.315 I
0.172 0.333 0.667 Cs
0.828 0.667 0.333 Cs
0.500 0.000 0.000 Tl
0.000 0.000 0.000 Ni
```

Output
Formation energy without anion corrections: -738.9 meV per atom
Excess energy over the best structure of this formula in the dataset: 19.0 meV/atom


Entry 7:
Below is an optimized crystal structure of LaAgGe2, with properties calculated at the GGA-PBE level.

POSCAR file:
```
LaAgGe2
1.0
4.433 0.000 0.000
0.000 11.308 0.000
0.000 0.000 14.335
Ag La Ge
8 8 16
Direct
0.750 0.174 0.706 Ag
0.250 0.826 0.294 Ag
0.750 0.953 0.443 Ag
0.250 0.453 0.057 Ag
0.250 0.674 0.794 Ag
0.750 0.326 0.206 Ag
0.750 0.547 0.943 Ag
0.250 0.047 0.557 Ag
0.250 0.532 0.298 La
0.250 0.750 0.548 La
0.250 0.968 0.798 La
0.750 0.468 0.702 La
0.750 0.250 0.952 La
0.750 0.250 0.452 La
0.250 0.750 0.048 La
0.750 0.032 0.202 La
0.750 0.772 0.889 Ge
0.750 0.757 0.706 Ge
0.750 0.543 0.133 Ge
0.750 0.743 0.206 Ge
0.250 0.475 0.541 Ge
0.250 0.228 0.111 Ge
0.750 0.728 0.389 Ge
0.750 0.975 0.959 Ge
0.250 0.257 0.794 Ge
0.250 0.025 0.041 Ge
0.250 0.043 0.367 Ge
0.750 0.525 0.459 Ge
0.250 0.243 0.294 Ge
0.250 0.272 0.611 Ge
0.750 0.957 0.633 Ge
0.250 0.457 0.867 Ge
```

Output
Total energy: -4.798 eV per atom


Entry 8:
Below is an optimized crystal structure of PrNd3Mg, with properties calculated at the GGA-PBE level.

POSCAR file:
```
PrNd3Mg
1.0
-1.526 -3.463 -0.991
8.915 3.102 6.334
-6.311 0.278 8.747
Nd Mg Pr
6 2 2
Direct
0.366 0.558 0.750 Nd
0.235 0.742 0.001 Nd
0.235 0.742 0.499 Nd
0.634 0.442 0.250 Nd
0.765 0.258 0.501 Nd
0.765 0.258 0.999 Nd
0.745 0.747 0.250 Mg
0.255 0.253 0.750 Mg
0.863 0.056 0.250 Pr
0.137 0.944 0.750 Pr
```

Output
Excess energy over the best structure of this formula in the dataset: 124.6 meV/atom